A geometry-optimized Ga3Co structure. Source: Alexandria via LeMat-Bulk, functional GGA-PBEsol.

Cell and atoms, written as POSCAR:
```
Ga3Co
1.0
6.165 0.000 0.000
0.000 6.165 0.000
0.000 0.000 6.341
Ga Co
12 4
Direct
0.000 0.500 0.000
0.000 0.500 0.500
0.152 0.152 0.245
0.152 0.152 0.755
0.348 0.652 0.255
0.348 0.652 0.745
0.500 0.000 0.000
0.500 0.000 0.500
0.652 0.348 0.255
0.652 0.348 0.745
0.848 0.848 0.245
0.848 0.848 0.755
0.154 0.846 0.000
0.346 0.346 0.500
0.654 0.654 0.500
0.846 0.154 0.000
```

Output
For the density of states at the Fermi level, the calculation gives 4.07 states/eV/cell. The value obtained for the total energy is -4.753 eV/atom. For the energy of formation, the calculation gives -0.3137 eV/atom.